11
Lattice="4.6350 -0.0951 -2.8944 -1.0907 9.6065 -2.0660 -1.0139 -0.7837 8.7247" Properties=species:S:1:pos:R:3 comment="TbY3Tm7 PBE relaxed" magmom_total_mub_per_fu=0.00 energy_ev_per_atom=-4.8599 e_above_lowest_polymorph_mev_per_atom=0 e_form_mev_per_atom=169 pbc="T T T"
Tm 2.5711 3.2416 -1.1495
Tm 2.3919 7.1802 3.5932
Tm 1.8106 -0.4394 2.9152
Tm -0.3090 2.2865 4.5904
Tm -0.0407 5.4860 4.9138
Tm 2.8394 6.4412 -0.8261
Tm 0.1385 1.5475 0.1711
Y -0.5453 4.8033 -1.0330
Y 0.5045 -0.6144 5.9927
Y 2.0259 9.3421 -2.2284
Tb 1.2652 4.3638 1.8822

=====

11
Lattice="-1.1399 -3.9298 0.3448 5.1851 -1.6627 -1.8502 -0.0050 2.7136 6.4812" Properties=species:S:1:pos:R:3 comment="V5Cr6 PBE relaxed" magmom_total_mub_per_fu=0.00 energy_ev_per_atom=-9.1455 e_form_mev_per_atom=248 pbc="T T T"
V 1.3455 -0.0551 3.8202
V 2.5925 -0.8313 -0.9251
V 0.0976 -1.9922 2.0677
V 3.9426 -0.8866 2.9082
V 2.6947 -2.8238 1.1556
Cr 3.3627 -3.2272 -1.2309
Cr 0.6825 -2.3653 -0.2745
Cr -0.5255 -1.5976 4.5131
Cr 2.1118 -2.4439 3.5721
Cr 4.5657 -1.2812 0.4627
Cr 1.9283 -0.4350 1.4038

=====

4
Lattice="9.7042 0.2610 0.1541 9.1534 3.2334 0.1541 9.1534 1.6961 2.7571" Properties=species:S:1:pos:R:3 comment="Al2TeIr PBE relaxed" magmom_total_mub_per_fu=0.00 energy_ev_per_atom=-4.7700 raw_formation_energy_ev_per_atom=0.1019 pbc="T T T"
Te 21.3234 3.9513 2.3335
Al 6.7608 1.2528 0.7399
Al 27.6753 5.1283 3.0286
Ir 14.2681 2.6439 1.5614